The following is a PBE with a Hubbard U calculation of a relaxed NiBiN2F crystal, from Alexandria via LeMat-Bulk.

The value obtained for the size of the total moment is 0.33 μB per formula unit. The offset from the most stable computed form comes out at 0 meV per atom.

The space group is P4/mmm (No. 123) and the conventional cell measures 3.9244, 3.9244 and 3.9112 Å, with angles of 90.00, 90.00 and 90.00 degrees. The distinct sites, in fractional coordinates, are Ni at (0.0000, 0.0000, 0.0000), Bi at (0.5000, 0.5000, 0.5000), N at (0.0000, 0.5000, 0.0000) and F at (0.0000, 0.0000, 0.5000).